Compound: Ba2CaMo
Source: the Alexandria database
Functional: GGA-PBE
Structure: optimized geometry

The structure in CIF format:
```
data_Ba2CaMo
_chemical_formula_sum 'Ba8 Ca4 Mo4'
_symmetry_space_group_name_H-M 'I -4 2 d'
_symmetry_Int_Tables_number 122
_symmetry_space_group_name_Hall 'I -4 2bw'
_cell_length_a 9.7783
_cell_length_b 9.7783
_cell_length_c 6.9602
_cell_angle_alpha 90.00
_cell_angle_beta 90.00
_cell_angle_gamma 90.00
loop_
_atom_site_label
_atom_site_type_symbol
_atom_site_fract_x
_atom_site_fract_y
_atom_site_fract_z
Ba1 Ba 0.1914 0.2500 0.1250
Ca1 Ca 0.0000 0.0000 0.5000
Mo1 Mo 0.0000 0.0000 0.0000
```

Calculated values
ΔH_f (0 K) = 0.964 eV/atom
ΔE to the lowest computed polymorph = 0.89 eV per formula unit



Compound: Ba2CaMo
Source: the Alexandria database
Functional: GGA-PBE
Structure: optimized geometry

The structure in CIF format:
```
data_Ba2CaMo
_chemical_formula_sum 'Ba6 Ca3 Mo3'
_symmetry_space_group_name_H-M 'R -3 m'
_symmetry_Int_Tables_number 166
_symmetry_space_group_name_Hall '-R 3 2"'
_cell_length_a 3.9086
_cell_length_b 3.9086
_cell_length_c 36.3301
_cell_angle_alpha 90.00
_cell_angle_beta 90.00
_cell_angle_gamma 120.00
loop_
_atom_site_label
_atom_site_type_symbol
_atom_site_fract_x
_atom_site_fract_y
_atom_site_fract_z
Ba1 Ba 0.0000 0.0000 0.2328
Ca1 Ca 0.0000 0.0000 0.0000
Mo1 Mo 0.0000 0.0000 0.5000
```

Calculated values
ΔH_f (0 K) = 0.895 eV/atom
ΔE to the lowest computed polymorph = 0.61 eV per formula unit



Compound: BaCaMo3
Source: the Alexandria database
Functional: GGA-PBE
Structure: optimized geometry

The structure in CIF format:
```
data_BaCaMo3
_chemical_formula_sum 'Ba1 Ca1 Mo3'
_symmetry_space_group_name_H-M 'P m -3 m'
_symmetry_Int_Tables_number 221
_symmetry_space_group_name_Hall '-P 4 2 3'
_cell_length_a 5.2640
_cell_length_b 5.2640
_cell_length_c 5.2640
_cell_angle_alpha 90.00
_cell_angle_beta 90.00
_cell_angle_gamma 90.00
loop_
_atom_site_label
_atom_site_type_symbol
_atom_site_fract_x
_atom_site_fract_y
_atom_site_fract_z
Ba1 Ba 0.0000 0.0000 0.0000
Ca1 Ca 0.5000 0.5000 0.5000
Mo1 Mo 0.0000 0.5000 0.5000
```

Calculated values
ΔH_f (0 K) = 2.410 eV/atom
ΔE to the lowest computed polymorph = 0.00 eV per formula unit



Compound: BaCaMo2
Source: the Alexandria database
Functional: GGA-PBE
Structure: optimized geometry

The structure in CIF format:
```
data_BaCaMo2
_chemical_formula_sum 'Ba1 Ca1 Mo2'
_symmetry_space_group_name_H-M 'P 4/m m m'
_symmetry_Int_Tables_number 123
_symmetry_space_group_name_Hall '-P 4 2'
_cell_length_a 5.3869
_cell_length_b 5.3869
_cell_length_c 3.8233
_cell_angle_alpha 90.00
_cell_angle_beta 90.00
_cell_angle_gamma 90.00
loop_
_atom_site_label
_atom_site_type_symbol
_atom_site_fract_x
_atom_site_fract_y
_atom_site_fract_z
Ba1 Ba 0.0000 0.0000 0.0000
Ca1 Ca 0.5000 0.5000 0.0000
Mo1 Mo 0.0000 0.5000 0.5000
```

Calculated values
ΔH_f (0 K) = 1.520 eV/atom
ΔE to the lowest computed polymorph = 3.99 eV per formula unit



Compound: Ba2CaMo
Source: the Alexandria database
Functional: GGA-PBE
Structure: optimized geometry

The structure in CIF format:
```
data_Ba2CaMo
_chemical_formula_sum 'Ba4 Ca2 Mo2'
_symmetry_space_group_name_H-M 'I m m 2'
_symmetry_Int_Tables_number 44
_cell_length_a 3.9795
_cell_length_b 6.2707
_cell_length_c 13.0231
_cell_angle_alpha 90.00
_cell_angle_beta 90.00
_cell_angle_gamma 90.00
loop_
_symmetry_equiv_pos_as_xyz
'x,y,z'
'-x,-y,z'
'-x,y,z'
'x,-y,z'
'x+1/2,y+1/2,z+1/2'
'-x+1/2,-y+1/2,z+1/2'
'-x+1/2,y+1/2,z+1/2'
'x+1/2,-y+1/2,z+1/2'
loop_
_atom_site_label
_atom_site_type_symbol
_atom_site_fract_x
_atom_site_fract_y
_atom_site_fract_z
Ba1 Ba 0.0000 0.0000 0.0000
Ba2 Ba 0.0000 0.5000 0.1960
Ca1 Ca 0.0000 0.5000 0.8077
Mo1 Mo 0.0000 0.0000 0.4909
```

Calculated values
ΔH_f (0 K) = 0.772 eV/atom
ΔE to the lowest computed polymorph = 0.12 eV per formula unit



Compound: Ba2CaMoN4
Source: the Alexandria database
Functional: GGA-PBE
Structure: optimized geometry

The structure in CIF format:
```
data_Ba2CaMoN4
_chemical_formula_sum 'Ba4 Ca2 Mo2 N8'
_symmetry_space_group_name_H-M 'P m n 21'
_symmetry_Int_Tables_number 31
_cell_length_a 7.8310
_cell_length_b 6.4913
_cell_length_c 6.2328
_cell_angle_alpha 90.00
_cell_angle_beta 90.00
_cell_angle_gamma 90.00
loop_
_symmetry_equiv_pos_as_xyz
'x,y,z'
'-x+1/2,-y,z+1/2'
'-x,y,z'
'x+1/2,-y,z+1/2'
loop_
_atom_site_label
_atom_site_type_symbol
_atom_site_fract_x
_atom_site_fract_y
_atom_site_fract_z
Ba1 Ba 0.2466 0.2326 0.0000
Ca1 Ca 0.0000 0.7709 0.9996
Mo1 Mo 0.0000 0.2018 0.4995
N1 N 0.0000 0.0219 0.2604
N2 N 0.0000 0.0234 0.7398
N3 N 0.2056 0.3526 0.4984
```

Calculated values
VASP energy = -7.11 eV per atom



Compound: Ba3CaMo2N6
Source: the Alexandria database
Functional: GGA-PBE
Structure: optimized geometry

The structure in CIF format:
```
data_Ba3CaMo2N6
_chemical_formula_sum 'Ba3 Ca1 Mo2 N6'
_symmetry_space_group_name_H-M 'P -3 m 1'
_symmetry_Int_Tables_number 164
_symmetry_space_group_name_Hall '-P 3 2"'
_cell_length_a 6.2473
_cell_length_b 6.2473
_cell_length_c 7.4251
_cell_angle_alpha 90.00
_cell_angle_beta 90.00
_cell_angle_gamma 120.00
loop_
_atom_site_label
_atom_site_type_symbol
_atom_site_fract_x
_atom_site_fract_y
_atom_site_fract_z
Ba1 Ba 0.0000 0.0000 0.0000
Ba2 Ba 0.3333 0.6667 0.6641
Ca1 Ca 0.0000 0.0000 0.5000
Mo1 Mo 0.3333 0.6667 0.2060
N1 N 0.1748 0.3497 0.2897
```

Calculated values
VASP energy = -7.28 eV per atom



Compound: BaNaCaMo2
Source: the Alexandria database
Functional: GGA-PBE
Structure: optimized geometry

The structure in CIF format:
```
data_BaNaCaMo2
_chemical_formula_sum 'Ba1 Na1 Ca1 Mo2'
_symmetry_space_group_name_H-M 'P 4/m m m'
_symmetry_Int_Tables_number 123
_symmetry_space_group_name_Hall '-P 4 2'
_cell_length_a 5.2912
_cell_length_b 5.2912
_cell_length_c 5.8849
_cell_angle_alpha 90.00
_cell_angle_beta 90.00
_cell_angle_gamma 90.00
loop_
_atom_site_label
_atom_site_type_symbol
_atom_site_fract_x
_atom_site_fract_y
_atom_site_fract_z
Ba1 Ba 0.0000 0.0000 0.0000
Na1 Na 0.5000 0.5000 0.5000
Ca1 Ca 0.0000 0.0000 0.5000
Mo1 Mo 0.0000 0.5000 0.0000
```

Calculated values
ΔH_f (0 K) = 2.117 eV/atom